Below is a crystal of NdNi12B6 relaxed with PBEsol, with properties calculated at the SCAN level.

The structure in extended XYZ format:
```
38
Lattice="-0.246 3.663 -4.713 -5.620 -0.262 2.007 1.934 8.531 6.529" Properties=species:S:1:pos:R:3 pbc="T T T"
Nd -3.915 7.110 1.022
Nd -0.979 0.583 -0.443
Ni -3.169 2.631 -0.998
Ni -1.412 6.439 2.631
Ni -2.834 10.340 3.773
Ni -0.515 4.170 2.024
Ni -2.728 5.064 -0.974
Ni -4.141 4.032 0.793
Ni -1.147 7.122 4.992
Ni 0.266 8.154 3.225
Ni -0.555 5.281 -2.249
Ni -4.504 2.397 2.688
Ni -3.394 6.580 6.018
Ni 0.555 9.463 1.081
Ni -2.926 4.517 2.856
Ni -0.861 6.025 0.274
Ni -0.302 10.527 3.350
Ni -2.367 9.019 5.932
Ni -3.665 4.015 -3.017
Ni -5.629 2.581 -0.562
Ni -0.993 4.720 4.395
Ni 0.971 6.154 1.939
Ni -2.279 2.561 1.428
Ni -0.862 3.596 -0.344
Ni -1.752 8.937 2.064
Ni -3.169 7.902 3.836
B -4.588 4.236 -1.195
B 0.320 6.217 3.887
B -2.191 4.573 0.919
B -1.385 8.932 4.109
B -1.791 3.667 -2.162
B -4.110 1.974 0.737
B -2.663 5.961 4.223
B -0.345 7.655 1.324
B -1.769 6.734 -1.381
B -4.918 4.434 2.557
B -1.670 7.377 6.873
B 1.479 9.677 2.936
```

The total DFT energy (no corrections) is -15.27 eV per atom. As for the space group: Cmc2_1 (36). The calculated volume is 9.9 A^3/atom. As for the energy of formation from the pure elements: -0.41 eV/atom.

Below is a crystal of BaHfScCr2 relaxed with PBEsol, with properties calculated at the SCAN level.

The structure in extended XYZ format:
```
5
Lattice="-2.494 2.620 3.269 -3.738 -3.109 -0.360 2.038 -2.900 3.880" Properties=species:S:1:pos:R:3 pbc="T T T"
Sc -2.097 -1.695 3.394
Cr -1.869 -1.554 -0.180
Cr -1.247 1.310 1.634
Hf 1.019 -1.450 1.940
Ba 0.000 0.000 0.000
```

The total DFT energy (no corrections) is -28.78 eV per atom. As for the space group: P4/mmm (123). The calculated volume is 25.0 A^3/atom. As for the energy of formation from the pure elements: 1.87 eV/atom.

Below is a crystal of MgIn3 relaxed with PBEsol, with properties calculated at the SCAN level.

The structure in extended XYZ format:
```
4
Lattice="-0.824 3.986 1.960 1.044 -1.764 4.026 4.376 0.123 -3.616" Properties=species:S:1:pos:R:3 pbc="T T T"
Mg 0.110 1.111 2.993
In 1.831 2.610 0.669
In 2.765 -0.265 1.702
In 0.000 0.000 0.000
```

The total DFT energy (no corrections) is -26.35 eV per atom. As for the space group: I4/mmm (139). The calculated volume is 23.9 A^3/atom. As for the energy of formation from the pure elements: -0.07 eV/atom.

Below is a crystal of ReTeNF2 relaxed with PBEsol, with properties calculated at the SCAN level.

The structure in extended XYZ format:
```
5
Lattice="-1.831 1.914 -2.814 -3.567 -0.111 2.246 1.032 3.661 1.820" Properties=species:S:1:pos:R:3 pbc="T T T"
Re 0.000 0.000 0.000
N -0.915 0.957 -1.407
Te -2.183 2.732 0.626
F 0.516 1.831 0.910
F -1.783 -0.055 1.123
```

The total DFT energy (no corrections) is -25.10 eV per atom. As for the space group: P4/mmm (123). The calculation puts the uncorrected formation energy at -0.1521 eV per atom. The calculated volume is 13.7 A^3/atom.

Below is a crystal of MgTaOs3 relaxed with PBEsol, with properties calculated at the SCAN level.

The structure in extended XYZ format:
```
5
Lattice="-0.312 2.066 3.805 -4.325 0.036 -0.374 -0.209 -3.818 2.056" Properties=species:S:1:pos:R:3 pbc="T T T"
Mg 0.000 0.000 0.000
Os -2.162 0.018 -0.187
Os -0.104 -1.909 1.028
Os -0.156 1.033 1.903
Ta -2.423 -0.858 2.744
```

The total DFT energy (no corrections) is -55.69 eV per atom. As for the space group: Pm-3m (221). The calculated volume is 16.4 A^3/atom. As for the energy of formation from the pure elements: 1.75 eV/atom.

Below is a crystal of Be2SnN relaxed with PBEsol, with properties calculated at the SCAN level.

The structure in extended XYZ format:
```
4
Lattice="-0.240 -3.508 2.172 -1.079 -3.522 -1.875 2.806 -2.980 -0.572" Properties=species:S:1:pos:R:3 pbc="T T T"
Be 0.372 -2.502 -0.069
Be 1.115 -7.507 -0.206
Sn 0.744 -5.005 -0.138
N 0.000 0.000 0.000
```

The total DFT energy (no corrections) is -12.00 eV per atom. As for the space group: Fm-3m (225). The calculation puts the uncorrected formation energy at 1.4808 eV per atom. The calculated volume is 12.5 A^3/atom.

Which of these has the highest calculated volume? BaHfScCr2

Please write out number 5 again, unchanged.
Below is a crystal of MgTaOs3 relaxed with PBEsol, with properties calculated at the SCAN level.

The structure in extended XYZ format:
```
5
Lattice="-0.312 2.066 3.805 -4.325 0.036 -0.374 -0.209 -3.818 2.056" Properties=species:S:1:pos:R:3 pbc="T T T"
Mg 0.000 0.000 0.000
Os -2.162 0.018 -0.187
Os -0.104 -1.909 1.028
Os -0.156 1.033 1.903
Ta -2.423 -0.858 2.744
```

The total DFT energy (no corrections) is -55.69 eV per atom. As for the space group: Pm-3m (221). The calculated volume is 16.4 A^3/atom. As for the energy of formation from the pure elements: 1.75 eV/atom.

total DFT energy (no corrections) of number 6 (Be2SnN)? -12.00 eV per atom